A geometry-optimized HfTaMn2 structure. Source: the Alexandria database, functional PBE.

M_tot = 0.497 μB per formula unit
formation energy = -0.20 eV/atom

Unit cell a=3.103 b=3.103 c=6.238 alpha=90.00 beta=90.00 gamma=90.00
Space group P4/mmm (No. 123)
Inequivalent atoms, fractional coordinates:
Hf (0.000, 0.000, 0.000)
Ta (0.000, 0.000, 0.500)
Mn (0.500, 0.500, 0.261)


A geometry-optimized HfTa2Mn structure. Source: the Alexandria database, functional PBE.

offset from the most stable computed form = 0.0 meV/atom
M_tot = 0.000 μB per formula unit
formation energy = -0.03 eV/atom

Unit cell a=3.099 b=3.099 c=7.172 alpha=90.00 beta=90.00 gamma=90.00
Space group P4/mmm (No. 123)
Inequivalent atoms, fractional coordinates:
Hf (0.000, 0.000, 0.000)
Ta (0.500, 0.500, 0.290)
Mn (0.000, 0.000, 0.500)


A geometry-optimized Hf2TaMn2 structure. Source: the Alexandria database, functional PBE.

offset from the most stable computed form = 0.0 meV/atom
M_tot = 0.000 μB per formula unit
formation energy = -0.04 eV/atom

Unit cell a=6.304 b=6.304 c=4.321 alpha=90.00 beta=90.00 gamma=90.00
Space group P4/mbm (No. 127)
Inequivalent atoms, fractional coordinates:
Hf (0.181, 0.319, 0.000)
Ta (0.000, 0.000, 0.500)
Mn (0.118, 0.618, 0.500)


A geometry-optimized HfTa2Mn structure. Source: the Alexandria database, functional PBE.

offset from the most stable computed form = 191.7 meV/atom
M_tot = 0.000 μB per formula unit
formation energy = 0.16 eV/atom

Unit cell a=6.463 b=6.463 c=6.463 alpha=90.00 beta=90.00 gamma=90.00
Space group Fm-3m (No. 225)
Inequivalent atoms, fractional coordinates:
Hf (0.000, 0.000, 0.000)
Ta (0.250, 0.250, 0.250)
Mn (0.000, 0.000, 0.500)


A geometry-optimized HfTa2Mn9 structure. Source: the Alexandria database, functional PBE.

M_tot = 1.942 μB per formula unit
formation energy = -0.14 eV/atom

Unit cell a=4.7756 b=4.7756 c=23.6747 alpha=90.00 beta=90.00 gamma=120.00
Space group R-3m (No. 166, hexagonal axes)
Inequivalent atoms, fractional coordinates:
Hf (0.0000, 0.0000, 0.0000)
Ta (0.0000, 0.0000, 0.1411)
Mn (0.0000, 0.0000, 0.3383)
Mn (0.0000, 0.0000, 0.5000)
Mn (0.0112, 0.5056, 0.9159)


A geometry-optimized Hf2TaMn structure. Source: the Alexandria database, functional PBE.

offset from the most stable computed form = 171.4 meV/atom
M_tot = 2.645 μB per formula unit
formation energy = 0.18 eV/atom

Unit cell a=6.615 b=6.615 c=6.615 alpha=90.00 beta=90.00 gamma=90.00
Space group Fm-3m (No. 225)
Inequivalent atoms, fractional coordinates:
Hf (0.250, 0.250, 0.250)
Ta (0.000, 0.000, 0.000)
Mn (0.000, 0.000, 0.500)


A geometry-optimized Hf2TaMn2 structure. Source: the Alexandria database, functional PBE.

offset from the most stable computed form = 394.7 meV/atom
M_tot = 4.375 μB per formula unit
formation energy = 0.36 eV/atom

Unit cell a=7.690 b=7.690 c=2.968 alpha=90.00 beta=90.00 gamma=90.00
Space group P4/mbm (No. 127)
Inequivalent atoms, fractional coordinates:
Hf (0.151, 0.349, 0.000)
Ta (0.000, 0.000, 0.000)
Mn (0.143, 0.643, 0.500)


A geometry-optimized HfTa2Mn structure. Source: the Alexandria database, functional PBE.

offset from the most stable computed form = 621.6 meV/atom
M_tot = 1.930 μB per formula unit
formation energy = 0.59 eV/atom

Unit cell a=3.871 b=3.871 c=20.184 alpha=90.00 beta=90.00 gamma=90.00
Space group I-42d (No. 122)
Inequivalent atoms, fractional coordinates:
Hf (0.000, 0.000, 0.000)
Ta (0.246, 0.250, 0.625)
Mn (0.000, 0.000, 0.500)


A geometry-optimized Hf3TaMn structure. Source: the Alexandria database, functional PBE.

offset from the most stable computed form = 1041.8 meV/atom
M_tot = 0.064 μB per formula unit
formation energy = 1.67 eV/atom

Unit cell a=5.016 b=5.016 c=5.016 alpha=90.00 beta=90.00 gamma=90.00
Space group Pm-3m (No. 221)
Inequivalent atoms, fractional coordinates:
Hf (0.000, 0.000, 0.500)
Ta (0.000, 0.000, 0.000)
Mn (0.500, 0.500, 0.500)


A geometry-optimized Hf3TaMn structure. Source: the Alexandria database, functional PBE.

offset from the most stable computed form = 0.0 meV/atom
M_tot = 0.000 μB per formula unit
formation energy = 0.63 eV/atom

Unit cell a=4.733 b=4.733 c=4.733 alpha=90.00 beta=90.00 gamma=90.00
Space group Pm-3m (No. 221)
Inequivalent atoms, fractional coordinates:
Hf (0.000, 0.000, 0.500)
Ta (0.500, 0.500, 0.500)
Mn (0.000, 0.000, 0.000)


A geometry-optimized HfTaMn2 structure. Source: the Alexandria database, functional PBE.

M_tot = 4.759 μB per formula unit
formation energy = 0.79 eV/atom

Unit cell a=2.847 b=4.948 c=10.152 alpha=90.00 beta=90.00 gamma=90.00
Space group Immm (No. 71)
Inequivalent atoms, fractional coordinates:
Hf (0.000, 0.000, 0.000)
Ta (0.000, 0.000, 0.500)
Mn (0.000, 0.000, 0.257)


A geometry-optimized HfTaMn2 structure. Source: the Alexandria database, functional PBE.

M_tot = 0.435 μB per formula unit
formation energy = -0.19 eV/atom

Unit cell a=4.394 b=4.394 c=3.104 alpha=90.00 beta=90.00 gamma=90.00
Space group P4/mmm (No. 123)
Inequivalent atoms, fractional coordinates:
Hf (0.000, 0.000, 0.000)
Ta (0.500, 0.500, 0.000)
Mn (0.000, 0.500, 0.500)


Please write out number 6 again, unchanged.
A geometry-optimized Hf2TaMn structure. Source: the Alexandria database, functional PBE.

offset from the most stable computed form = 171.4 meV/atom
M_tot = 2.645 μB per formula unit
formation energy = 0.18 eV/atom

Unit cell a=6.615 b=6.615 c=6.615 alpha=90.00 beta=90.00 gamma=90.00
Space group Fm-3m (No. 225)
Inequivalent atoms, fractional coordinates:
Hf (0.250, 0.250, 0.250)
Ta (0.000, 0.000, 0.000)
Mn (0.000, 0.000, 0.500)